A plane-wave DFT calculation with PBE was carried out for a geometry-optimized LiTb2Zn structure.

Computed properties:
crystal system: trigonal
total magnetic moment: 0.00 μB/f.u.
energy above the lowest structure with this stoichiometry: 0.239 eV per atom
SG: R-3m (166)
energy relative to the elements: 0.116 eV per atom

a b c (Å): 11.264 11.264 11.264
angles (deg): 17.50 17.50 17.50
Positions (direct):
Li: 0.000 0.000 0.000
Tb: 0.099 0.099 0.099
Tb: 0.901 0.901 0.901
Zn: 0.500 0.500 0.500